The following is a DFT calculation (PBE) of a relaxed NaHf2Se4 crystal.

Geometry as extended XYZ:
```
7
Lattice="-2.153 3.043 -0.593 -4.513 -3.736 -2.790 0.176 -0.596 8.322" Properties=species:S:1:pos:R:3 pbc="T T T"
Na 0.000 0.000 0.000
Hf -4.930 -0.839 1.581
Hf -1.559 -0.449 3.358
Se -2.622 1.446 4.929
Se -3.868 -2.734 0.010
Se -2.712 0.646 1.149
Se -3.778 -1.934 3.791
```

## Properties
Energy relative to the elements, uncorrected: -1.34 eV per atom
Symmetry: C2/m (12)
Energy above the most stable polymorph in this dataset: 0 meV/atom

=====

The following is a DFT calculation (PBE) of a relaxed Na5HfSe4 crystal.

Geometry as extended XYZ:
```
10
Lattice="-0.294 -4.097 -0.044 3.214 -0.151 -7.459 7.293 1.480 5.156" Properties=species:S:1:pos:R:3 pbc="T T T"
Na 6.840 -2.534 -1.544
Na 4.912 -2.436 2.294
Na 5.301 -0.331 -4.641
Na 1.460 -2.124 -3.751
Na 3.373 -0.234 -0.803
Hf -0.147 -2.048 -0.022
Se 7.860 -0.530 -3.226
Se 2.579 -0.125 -5.671
Se 2.353 -2.237 0.879
Se 7.634 -2.643 3.324
```

## Properties
Energy relative to the elements, uncorrected: -0.99 eV per atom
Symmetry: C2/m (12)

=====

The following is a DFT calculation (PBE) of a relaxed NaHf3Se6 crystal.

Geometry as extended XYZ:
```
20
Lattice="-2.742 -1.713 -1.941 6.792 -0.705 -8.973 1.340 -10.371 7.258" Properties=species:S:1:pos:R:3 pbc="T T T"
Na 3.825 -12.055 -0.262
Na 1.565 -0.734 -3.394
Hf 0.913 -6.464 -1.080
Hf 4.477 -6.325 -2.575
Hf 3.161 -4.834 -5.695
Hf 2.228 -7.955 2.040
Hf 5.696 -10.881 -3.941
Hf -0.307 -1.908 0.285
Se -0.211 -7.249 1.199
Se 5.600 -5.541 -4.854
Se -0.933 -2.084 -2.338
Se 6.322 -10.705 -1.318
Se 4.119 -8.737 -3.605
Se 1.270 -4.052 -0.051
Se 1.985 -5.535 -3.415
Se 3.405 -7.255 -0.240
Se 1.818 -10.424 1.134
Se 3.572 -2.365 -4.790
Se 4.398 -4.103 -8.088
Se 0.991 -8.686 4.432
```

## Properties
Energy relative to the elements, uncorrected: -1.27 eV per atom
Symmetry: P2_1/m (11)